[1]
BaLiCd2Hg4: optimized geometry, GGA-PBE.

The calculation puts the formation energy at -296 meV/atom. Its density of states at the Fermi level is 10.7 states/eV per cell. As for the density: 9.2 g/cm3.

The space group is R-3m (No. 166, hexagonal axes) and the conventional cell measures 5.0181, 5.0181 and 28.9765 Å, with angles of 90.00, 90.00 and 120.00 degrees. The distinct sites, in fractional coordinates, are Ba at (0.0000, 0.0000, 0.0000), Li at (0.0000, 0.0000, 0.5000), Cd at (0.0000, 0.0000, 0.2386), Hg at (0.0000, 0.0000, 0.1339) and Hg at (0.0000, 0.0000, 0.3977).

***

[2]
FeRuSe2: optimized geometry, GGA-PBE.

The calculation puts the formation energy without anion corrections at 0.66 eV/f.u. Its density of states at the Fermi level is 10.1 states/eV per cell. For the excess energy over the best structure of this formula in the dataset, the calculation gives 150 kJ/mol of formula units. As for the density: 8.4 g/cm3.

The space group is R-3m (No. 166, hexagonal axes) and the conventional cell measures 3.1451, 3.1451 and 21.7764 Å, with angles of 90.00, 90.00 and 120.00 degrees. The distinct sites, in fractional coordinates, are Fe at (0.0000, 0.0000, 0.0000), Ru at (0.0000, 0.0000, 0.5000) and Se at (0.0000, 0.0000, 0.2535).

***

[3]
Th8Te4Os3Rh: optimized geometry, GGA-PBE.

The calculation puts the formation energy without anion corrections at -14.44 eV/f.u. Its density of states at the Fermi level is 22.0 states/eV per cell. As for the density: 10.8 g/cm3.

The space group is R-3m (No. 166, hexagonal axes) and the conventional cell measures 8.3934, 8.3934 and 23.0765 Å, with angles of 90.00, 90.00 and 120.00 degrees. The distinct sites, in fractional coordinates, are Th at (0.0000, 0.0000, 0.2331), Th at (0.0045, 0.5022, 0.7667), Te at (0.0000, 0.0000, 0.0000), Te at (0.0000, 0.5000, 0.0000), Os at (0.0000, 0.5000, 0.5000) and Rh at (0.0000, 0.0000, 0.5000).

***

[4]
Ba4Si23: optimized geometry, GGA-PBE.

The calculation puts the formation energy without anion corrections at -2.98 eV/f.u. Its density of states at the Fermi level is 38.3 states/eV per cell. As for the density: 3.5 g/cm3.

The space group is Pm-3n (No. 223) and the conventional cell measures 10.394, 10.394 and 10.394 Å, with angles of 90.00, 90.00 and 90.00 degrees. The distinct sites, in fractional coordinates, are Ba at (0.000, 0.000, 0.000), Ba at (0.000, 0.250, 0.500), Si at (0.000, 0.307, 0.121), Si at (0.000, 0.500, 0.250) and Si at (0.185, 0.185, 0.185).

***

[5]
NiTeH2: optimized geometry, GGA-PBE.

Its density of states at the Fermi level is 7.2 states/eV per cell. For the excess energy over the best structure of this formula in the dataset, the calculation gives 0 kJ/mol of formula units. As for the density: 6.5 g/cm3.

The space group is I4_1/amd (No. 141, origin choice 2) and the conventional cell measures 5.145, 5.145 and 7.251 Å, with angles of 90.00, 90.00 and 90.00 degrees. The distinct sites, in fractional coordinates, are Ni at (0.000, 0.250, 0.375), Te at (0.000, 0.250, 0.875) and H at (0.000, 0.000, 0.500).

***

[6]
Ac3La4UN8: optimized geometry, GGA-PBE.

The calculation puts the formation energy without anion corrections at -19.56 eV/f.u. Its density of states at the Fermi level is 20.0 states/eV per cell. As for the density: 8.8 g/cm3.

The space group is R-3m (No. 166, hexagonal axes) and the conventional cell measures 7.5400, 7.5400 and 18.2822 Å, with angles of 90.00, 90.00 and 120.00 degrees. The distinct sites, in fractional coordinates, are Ac at (0.0000, 0.5000, 0.0000), La at (0.0000, 0.0000, 0.5000), La at (0.0000, 0.5000, 0.5000), U at (0.0000, 0.0000, 0.0000), N at (0.0000, 0.0000, 0.2454) and N at (0.0497, 0.5249, 0.7408).

***

[7]
Na3CuAsCO7: optimized geometry, GGA-PBE.

The calculation puts the formation energy without anion corrections at -19.09 eV/f.u. Its density of states at the Fermi level is 1.7 states/eV per cell. As for the density: 3.3 g/cm3.

The space group is P2_1/m (No. 11) and the conventional cell measures 5.326, 6.703 and 9.287 Å, with angles of 90.00, 92.30 and 90.00 degrees. The distinct sites, in fractional coordinates, are Na at (0.207, 0.250, 0.089), Na at (0.249, 0.000, 0.743), Cu at (0.229, 0.750, 0.348), As at (0.317, 0.250, 0.424), C at (0.297, 0.750, 0.052), O at (0.108, 0.750, 0.140), O at (0.179, 0.250, 0.585), O at (0.240, 0.050, 0.311), O at (0.241, 0.750, 0.915), O at (0.356, 0.750, 0.551) and O at (0.474, 0.250, 0.898).

***

[8]
Pt4AuBr: optimized geometry, GGA-PBE.

The calculation puts the formation energy without anion corrections at 3.13 eV/f.u. Its density of states at the Fermi level is 25.9 states/eV per cell. As for the density: 16.0 g/cm3.

The space group is F-43m (No. 216) and the conventional cell measures 7.606, 7.606 and 7.606 Å, with angles of 90.00, 90.00 and 90.00 degrees. The distinct sites, in fractional coordinates, are Pt at (0.125, 0.125, 0.125), Au at (0.250, 0.250, 0.750) and Br at (0.000, 0.000, 0.500).

***

[9]
YInAu3: optimized geometry, GGA-PBE.

The calculation puts the formation energy at 229 meV/atom. Its density of states at the Fermi level is 2.2 states/eV per cell. For the excess energy over the best structure of this formula in the dataset, the calculation gives 374 kJ/mol of formula units. As for the density: 8.0 g/cm3.

The space group is Pm-3m (No. 221) and the conventional cell measures 5.489, 5.489 and 5.489 Å, with angles of 90.00, 90.00 and 90.00 degrees. The distinct sites, in fractional coordinates, are Y at (0.000, 0.000, 0.000), In at (0.500, 0.500, 0.500) and Au at (0.000, 0.000, 0.500).

***

[10]
ScNiHg2Ge: optimized geometry, GGA-PBE.

The calculation puts the formation energy at 682 meV/atom. Its density of states at the Fermi level is 5.4 states/eV per cell. For the excess energy over the best structure of this formula in the dataset, the calculation gives 165 kJ/mol of formula units. As for the density: 7.3 g/cm3.

The space group is P4/mmm (No. 123) and the conventional cell measures 5.056, 5.056 and 5.149 Å, with angles of 90.00, 90.00 and 90.00 degrees. The distinct sites, in fractional coordinates, are Sc at (0.000, 0.000, 0.000), Ni at (0.500, 0.500, 0.000), Hg at (0.000, 0.500, 0.500) and Ge at (0.000, 0.000, 0.500).

***

[11]
Bi2SbPb: optimized geometry, GGA-PBE.

The calculation puts the formation energy without anion corrections at 0.38 eV/f.u. Its density of states at the Fermi level is 3.8 states/eV per cell. For the excess energy over the best structure of this formula in the dataset, the calculation gives 5 kJ/mol of formula units. As for the density: 9.2 g/cm3.

The space group is P4/mmm (No. 123) and the conventional cell measures 4.595, 4.595 and 6.382 Å, with angles of 90.00, 90.00 and 90.00 degrees. The distinct sites, in fractional coordinates, are Bi at (0.000, 0.000, 0.000), Bi at (0.500, 0.500, 0.500), Sb at (0.000, 0.000, 0.500) and Pb at (0.500, 0.500, 0.000).

***

[12]
TiHgN2: optimized geometry, GGA-PBE.

The calculation puts the formation energy without anion corrections at -1.45 eV/f.u. Its density of states at the Fermi level is 0.0 states/eV per cell. As for the density: 8.6 g/cm3.

The space group is R-3m (No. 166, hexagonal axes) and the conventional cell measures 3.1583, 3.1583 and 18.6236 Å, with angles of 90.00, 90.00 and 120.00 degrees. The distinct sites, in fractional coordinates, are Ti at (0.0000, 0.0000, 0.0000), Hg at (0.0000, 0.0000, 0.5000) and N at (0.0000, 0.0000, 0.3887).